K3NiF: relaxed, PBE with a Hubbard U.

- Energy: -1.617 eV per atom
- Volume: 194.2 Å³/cell
- SG: Pm-3m, No. 221

The structure in CIF format:
```
data_K3NiF
_chemical_formula_sum 'K3 Ni1 F1'
_cell_length_a 5.791
_cell_length_b 5.791
_cell_length_c 5.791
_cell_angle_alpha 90.00
_cell_angle_beta 90.00
_cell_angle_gamma 90.00
_symmetry_space_group_name_H-M 'P 1'
_symmetry_Int_Tables_number 1
_symmetry_space_group_name_Hall 'P 1'
loop_
_atom_site_label
_atom_site_type_symbol
_atom_site_fract_x
_atom_site_fract_y
_atom_site_fract_z
K1 K 0.000 0.000 0.500
F1 F 0.500 0.500 0.500
K2 K 0.000 0.500 0.000
K3 K 0.500 0.000 0.000
Ni1 Ni 0.000 0.000 0.000
```